CaMgGe2Au4 (PBE-GGA, relaxed); theoretical density = 10.44 Mg/m³; symmetry = No. 166; total energy = -0.2659 Ry per atom; calculated formation energy = -0.375 eV per atom
1.0
2.3292 1.3448 8.4451
-2.3292 1.3448 8.4451
0.0000 -2.6896 8.4451
Ca Mg Ge Au
1 1 2 4
Cartesian
0.0000 0.0000 0.0000
0.0000 0.0000 12.6676
0.0000 0.0000 6.3792
0.0000 0.0000 18.9560
0.0000 0.0000 3.5127
0.0000 0.0000 9.9476
0.0000 0.0000 15.3876
0.0000 0.0000 21.8225